(1)
MnInAs2, optimized geometry, DFT PBE; E = -5.267 eV/atom; DOS(E_F) = 1.96 states/eV/f.u.
1.0
1.540 0.889 9.203
-1.540 0.889 9.203
0.000 -1.779 9.203
Mn In As
1 1 2
Direct
0.000 0.000 0.000
0.500 0.500 0.500
0.273 0.273 0.273
0.727 0.727 0.727

---

(2)
MnInAs2, optimized geometry, DFT PBE; E = -4.871 eV/atom; DOS(E_F) = 4.57 states/eV/f.u.
1.0
0.000 3.415 3.415
3.415 0.000 3.415
3.415 3.415 0.000
Mn In As
1 1 2
Direct
0.000 0.000 0.000
0.750 0.750 0.750
0.250 0.250 0.250
0.500 0.500 0.500

---

(3)
Mn2InAs, optimized geometry, DFT PBE; DOS(E_F) = 3.24 states/eV/f.u.; E above lowest polymorph = 0.019 eV per atom
1.0
1.722 0.994 7.300
-1.722 0.994 7.300
0.000 -1.989 7.300
Mn In As
2 1 1
Direct
0.237 0.237 0.237
0.763 0.763 0.763
0.000 0.000 0.000
0.500 0.500 0.500

---

(4)
Mn2InAs, optimized geometry, DFT PBE; DOS(E_F) = 4.86 states/eV/f.u.; E above lowest polymorph = 0.378 eV per atom
1.0
0.000 3.319 3.319
3.319 0.000 3.319
3.319 3.319 0.000
Mn In As
2 1 1
Direct
0.000 0.000 0.000
0.250 0.250 0.250
0.750 0.750 0.750
0.500 0.500 0.500

---

(5)
MnIn4As, optimized geometry, DFT PBE; E = -3.600 eV/atom; DOS(E_F) = 4.30 states/eV/f.u.
1.0
0.000 4.242 4.242
4.242 0.000 4.242
4.242 4.242 0.000
Mn In As
1 4 1
Direct
0.000 0.000 0.000
0.375 0.375 0.375
0.375 0.375 0.875
0.375 0.875 0.375
0.875 0.375 0.375
0.750 0.750 0.750

---

(6)
MnIn2As, optimized geometry, DFT PBE; E = -4.708 eV/atom; DOS(E_F) = 3.00 states/eV/f.u.
1.0
-1.478 2.365 5.981
1.478 -2.365 5.981
1.478 2.365 -5.981
Mn In As
1 2 1
Direct
0.000 0.000 0.000
0.204 0.704 0.500
0.510 0.510 0.000
0.832 0.332 0.500

---

(7)
Mn2InAs, optimized geometry, DFT PBE; DOS(E_F) = 3.19 states/eV/f.u.; E above lowest polymorph = 0.014 eV per atom
1.0
2.964 0.000 0.000
0.000 2.964 0.000
0.000 0.000 7.632
Mn In As
2 1 1
Direct
0.000 0.000 0.000
0.500 0.500 0.185
0.500 0.500 0.746
0.000 0.000 0.367

---

(8)
MnIn2As, optimized geometry, DFT PBE; E = -4.558 eV/atom; DOS(E_F) = 2.44 states/eV/f.u.
1.0
-2.070 2.070 4.975
2.070 -2.070 4.975
2.070 2.070 -4.975
Mn In As
1 2 1
Direct
0.000 0.000 0.000
0.250 0.750 0.500
0.750 0.250 0.500
0.500 0.500 0.000

---

(9)
Mn2InAs, optimized geometry, DFT PBE; DOS(E_F) = 8.01 states/eV/f.u.; E above lowest polymorph = 0.355 eV per atom
1.0
0.000 3.051 3.051
3.051 0.000 3.051
3.051 3.051 0.000
Mn In As
2 1 1
Direct
0.250 0.250 0.250
0.750 0.750 0.750
0.000 0.000 0.000
0.500 0.500 0.500

---

(10)
MnInAs2, optimized geometry, DFT PBE; E = -5.064 eV/atom; DOS(E_F) = 2.19 states/eV/f.u.
1.0
2.839 -3.753 0.000
2.839 3.753 0.000
0.000 0.000 3.727
Mn In As
1 1 2
Direct
0.000 0.000 0.000
0.500 0.500 0.000
0.000 0.500 0.500
0.500 0.000 0.500

---

(11)
MnInAs2, optimized geometry, DFT PBE; E = -5.013 eV/atom; DOS(E_F) = 2.39 states/eV/f.u.
1.0
-2.234 2.234 3.940
2.234 -2.234 3.940
2.234 2.234 -3.940
Mn In As
1 1 2
Direct
0.000 0.000 0.000
0.500 0.500 0.000
0.250 0.750 0.500
0.750 0.250 0.500

---

(12)
Mn2InAs, optimized geometry, DFT PBE; DOS(E_F) = 2.99 states/eV/f.u.; E above lowest polymorph = 0.000 eV per atom
1.0
3.032 0.000 0.000
0.000 3.032 0.000
0.000 0.000 6.847
Mn In As
2 1 1
Direct
0.000 0.000 0.201
0.000 0.000 0.799
0.500 0.500 0.500
0.500 0.500 0.000

---

(13)
Mn2InAs, optimized geometry, DFT PBE; DOS(E_F) = 2.72 states/eV/f.u.; E above lowest polymorph = 0.095 eV per atom
1.0
-2.074 2.074 3.988
2.074 -2.074 3.988
2.074 2.074 -3.988
Mn In As
2 1 1
Direct
0.250 0.750 0.500
0.750 0.250 0.500
0.000 0.000 0.000
0.500 0.500 0.000

---

(14)
MnIn2As, optimized geometry, DFT PBE; E = -4.752 eV/atom; DOS(E_F) = 2.38 states/eV/f.u.
1.0
3.814 0.000 0.000
0.000 2.077 5.413
0.000 -2.077 5.413
Mn In As
1 2 1
Direct
0.000 0.000 0.000
0.000 0.262 0.262
0.500 0.573 0.573
0.500 0.853 0.853

---

(15)
MnInAs2, optimized geometry, DFT PBE; E = -5.031 eV/atom; DOS(E_F) = 2.11 states/eV/f.u.
1.0
3.811 0.000 0.000
0.000 4.063 0.000
0.000 0.000 5.197
Mn In As
1 1 2
Direct
0.000 0.000 0.000
0.000 0.500 0.500
0.500 0.000 0.500
0.500 0.500 0.000

---

(16)
MnInAs2, optimized geometry, DFT PBE; E = -5.089 eV/atom; DOS(E_F) = 2.46 states/eV/f.u.
1.0
2.889 -3.799 0.000
2.889 3.799 0.000
-1.528 0.000 3.789
Mn In As
1 1 2
Direct
0.000 0.000 0.000
0.500 0.500 0.000
0.000 0.500 0.500
0.500 0.000 0.500

---

(17)
Mn2InAs, optimized geometry, DFT PBE; DOS(E_F) = 2.17 states/eV/f.u.; E above lowest polymorph = 0.034 eV per atom
1.0
-1.942 1.942 4.520
1.942 -1.942 4.520
1.942 1.942 -4.520
Mn In As
2 1 1
Direct
0.000 0.000 0.000
0.750 0.250 0.500
0.500 0.500 0.000
0.250 0.750 0.500

---

(18)
Mn2InAs2, optimized geometry, DFT PBE; DOS(E_F) = 3.68 states/eV/f.u.; E above lowest polymorph = 0.000 eV per atom
1.0
7.230 0.000 0.000
0.000 7.230 0.000
0.000 0.000 3.278
Mn In As
4 2 4
Direct
0.129 0.371 0.000
0.371 0.871 0.000
0.629 0.129 0.000
0.871 0.629 0.000
0.000 0.000 0.000
0.500 0.500 0.000
0.154 0.654 0.500
0.346 0.154 0.500
0.654 0.846 0.500
0.846 0.346 0.500

---

(19)
MnInAs2, optimized geometry, DFT PBE; E = -5.241 eV/atom; DOS(E_F) = 1.67 states/eV/f.u.
1.0
-1.758 1.843 6.351
1.758 -1.843 6.351
1.758 1.843 -6.351
Mn In As
1 1 2
Direct
0.000 0.000 0.000
0.239 0.739 0.500
0.554 0.554 0.000
0.856 0.356 0.500

---

(20)
MnIn2As, optimized geometry, DFT PBE; E = -4.506 eV/atom; DOS(E_F) = 3.25 states/eV/f.u.
1.0
1.592 0.919 9.400
-1.592 0.919 9.400
0.000 -1.838 9.400
Mn In As
1 2 1
Direct
0.000 0.000 0.000
0.257 0.257 0.257
0.743 0.743 0.743
0.500 0.500 0.500

---

(21)
MnIn2As, optimized geometry, DFT PBE; E = -4.588 eV/atom; DOS(E_F) = 1.88 states/eV/f.u.
1.0
-2.147 2.147 4.546
2.147 -2.147 4.546
2.147 2.147 -4.546
Mn In As
1 2 1
Direct
0.000 0.000 0.000
0.500 0.500 0.000
0.750 0.250 0.500
0.250 0.750 0.500

---

(22)
MnInAs2, optimized geometry, DFT PBE; E = -5.137 eV/atom; DOS(E_F) = 3.02 states/eV/f.u.
1.0
-2.882 2.882 5.781
2.882 -2.882 5.781
2.882 2.882 -5.781
Mn In As
2 2 4
Direct
0.000 0.000 0.000
0.750 0.250 0.500
0.250 0.750 0.500
0.500 0.500 0.000
0.051 0.625 0.926
0.375 0.301 0.426
0.699 0.125 0.074
0.875 0.949 0.574

---

(23)
Mn2InAs, optimized geometry, DFT PBE; DOS(E_F) = 2.52 states/eV/f.u.; E above lowest polymorph = 0.035 eV per atom
1.0
5.420 -1.572 0.000
5.420 1.572 0.000
-1.761 0.000 4.028
Mn In As
2 1 1
Direct
0.000 0.000 0.000
0.737 0.737 0.235
0.203 0.203 0.702
0.432 0.432 0.430

---

(24)
MnIn3As, optimized geometry, DFT PBE; DOS(E_F) = 2.84 states/eV/f.u.; E above lowest polymorph = 0.240 eV per atom
1.0
5.369 0.000 0.000
0.000 5.369 0.000
0.000 0.000 5.369
Mn In As
1 3 1
Direct
0.000 0.000 0.000
0.000 0.500 0.500
0.500 0.000 0.500
0.500 0.500 0.000
0.500 0.500 0.500

---

(25)
Mn2InAs, optimized geometry, DFT PBE; DOS(E_F) = 2.99 states/eV/f.u.; E above lowest polymorph = 0.100 eV per atom
1.0
2.942 -3.795 0.000
2.942 3.795 0.000
-0.173 0.000 3.006
Mn In As
2 1 1
Direct
0.000 0.500 0.000
0.500 0.000 0.000
0.000 0.000 0.500
0.500 0.500 0.500

---

(26)
MnIn2As2, optimized geometry, DFT PBE; E = -4.628 eV/atom; DOS(E_F) = 3.71 states/eV/f.u.
1.0
6.207 0.000 0.000
0.000 6.207 0.000
0.000 0.000 5.308
Mn In As
2 4 4
Direct
0.000 0.000 0.000
0.500 0.500 0.000
0.189 0.311 0.500
0.311 0.811 0.500
0.689 0.189 0.500
0.811 0.689 0.500
0.151 0.651 0.000
0.349 0.151 0.000
0.651 0.849 0.000
0.849 0.349 0.000

---

(27)
Mn2InAs, optimized geometry, DFT PBE; DOS(E_F) = 2.76 states/eV/f.u.; E above lowest polymorph = 0.080 eV per atom
1.0
3.842 0.000 0.000
0.000 4.014 0.000
0.000 0.000 4.373
Mn In As
2 1 1
Direct
0.000 0.000 0.000
0.000 0.500 0.500
0.500 0.000 0.500
0.500 0.500 0.000

---

(28)
Mn2InAs, optimized geometry, DFT PBE; DOS(E_F) = 2.99 states/eV/f.u.; E above lowest polymorph = 0.160 eV per atom
1.0
1.530 0.884 8.542
-1.530 0.884 8.542
0.000 -1.767 8.542
Mn In As
2 1 1
Direct
0.000 0.000 0.000
0.258 0.258 0.258
0.756 0.756 0.756
0.529 0.529 0.529

---

(29)
MnInAs, optimized geometry, DFT PBE; DOS(E_F) = 2.03 states/eV/f.u.; E above lowest polymorph = 0.157 eV per atom
1.0
4.211 0.000 0.000
-2.105 3.647 0.000
0.000 0.000 4.064
Mn In As
1 1 1
Direct
0.000 0.000 0.000
0.333 0.667 0.500
0.667 0.333 0.000

---

(30)
MnInAs2, optimized geometry, DFT PBE; E = -5.122 eV/atom; DOS(E_F) = 2.03 states/eV/f.u.
1.0
3.278 0.000 0.000
0.000 3.278 0.000
0.000 0.000 7.087
Mn In As
1 1 2
Direct
0.000 0.000 0.000
0.500 0.500 0.713
0.000 0.000 0.387
0.500 0.500 0.136